Entry 1:
The following is a PBE-GGA calculation of a relaxed structure of SrSc2B, from Alexandria.

Computed properties:
* electronic total energy: -4.153 eV/atom
* E_form: 4.4 eV/f.u.

Structure (POSCAR):
```
SrSc2B
1.0
3.5119 0.0000 0.0000
-1.7560 3.0414 0.0000
0.0000 0.0000 31.9769
Sr Sc B
3 6 3
Direct
0.0000 0.0000 0.0000 Sr
0.3333 0.6667 0.6667 Sr
0.6667 0.3333 0.3333 Sr
0.0000 0.0000 0.4277 Sc
0.0000 0.0000 0.5723 Sc
0.3333 0.6667 0.0943 Sc
0.3333 0.6667 0.2390 Sc
0.6667 0.3333 0.7610 Sc
0.6667 0.3333 0.9057 Sc
0.0000 0.0000 0.5000 B
0.3333 0.6667 0.1667 B
0.6667 0.3333 0.8333 B
```



Entry 2:
The following is a PBE-GGA calculation of a relaxed structure of La2PrSmBi5, from Alexandria.

Computed properties:
* electronic total energy: -4.535 eV/atom
* E_form: -2.1 eV/f.u.

Structure (POSCAR):
```
La2PrSmBi5
1.0
5.5286 0.0000 0.0000
0.0000 5.5286 0.0000
0.0000 0.0000 12.1800
La Pr Sm Bi
2 1 1 5
Direct
0.0000 0.0000 0.2225 La
0.0000 0.0000 0.7775 La
0.5000 0.5000 0.5000 Pr
0.5000 0.5000 0.0000 Sm
0.0000 0.0000 0.5000 Bi
0.0000 0.5000 0.0000 Bi
0.5000 0.0000 0.0000 Bi
0.5000 0.5000 0.2513 Bi
0.5000 0.5000 0.7487 Bi
```



Entry 3:
The following is a PBE-GGA calculation of a relaxed structure of Dy12Zn6Os, from Alexandria.

Computed properties:
* electronic total energy: -4.003 eV/atom
* E_form: -2.0 eV/f.u.

Structure (POSCAR):
```
Dy12Zn6Os
1.0
5.7960 3.3463 4.3701
-5.7960 3.3463 4.3701
0.0000 -6.6926 4.3701
Dy Zn Os
12 6 1
Direct
0.0491 0.6984 0.9372 Dy
0.0628 0.9509 0.3016 Dy
0.1776 0.5302 0.3987 Dy
0.3016 0.0628 0.9509 Dy
0.3987 0.1776 0.5302 Dy
0.4698 0.6013 0.8224 Dy
0.5302 0.3987 0.1776 Dy
0.6013 0.8224 0.4698 Dy
0.6984 0.9372 0.0491 Dy
0.8224 0.4698 0.6013 Dy
0.9372 0.0491 0.6984 Dy
0.9509 0.3016 0.0628 Dy
0.1629 0.3629 0.7647 Zn
0.2353 0.8371 0.6371 Zn
0.3629 0.7647 0.1629 Zn
0.6371 0.2353 0.8371 Zn
0.7647 0.1629 0.3629 Zn
0.8371 0.6371 0.2353 Zn
0.5000 0.5000 0.5000 Os
```



Entry 4:
The following is a PBE-GGA calculation of a relaxed structure of Ca3InAs3, from Alexandria.

Computed properties:
* electronic total energy: -4.225 eV/atom
* E_form: -6.9 eV/f.u.

Structure (POSCAR):
```
Ca3InAs3
1.0
12.3988 0.0000 0.0000
0.0000 4.2919 0.0000
0.0000 0.0000 13.8754
Ca In As
12 4 12
Direct
0.0611 0.2500 0.1052 Ca
0.1548 0.7500 0.5058 Ca
0.2309 0.7500 0.7875 Ca
0.2691 0.2500 0.2875 Ca
0.3452 0.2500 0.0058 Ca
0.4389 0.7500 0.6052 Ca
0.5611 0.2500 0.3948 Ca
0.6548 0.7500 0.9942 Ca
0.7309 0.7500 0.7125 Ca
0.7691 0.2500 0.2125 Ca
0.8452 0.2500 0.4942 Ca
0.9389 0.7500 0.8948 Ca
0.0541 0.2500 0.7003 In
0.4459 0.7500 0.2003 In
0.5541 0.2500 0.7997 In
0.9459 0.7500 0.2997 In
0.0513 0.2500 0.3678 As
0.1084 0.2500 0.8901 As
0.2413 0.7500 0.1263 As
0.2587 0.2500 0.6263 As
0.3916 0.7500 0.3901 As
0.4487 0.7500 0.8678 As
0.5513 0.2500 0.1322 As
0.6084 0.2500 0.6099 As
0.7413 0.7500 0.3737 As
0.7587 0.2500 0.8737 As
0.8916 0.7500 0.1099 As
0.9487 0.7500 0.6322 As
```



Entry 5:
The following is a PBE-GGA calculation of a relaxed structure of Ac3PmY6, from Alexandria.

Computed properties:
* electronic total energy: -5.186 eV/atom
* E_form: 4.0 eV/f.u.

Structure (POSCAR):
```
Ac3PmY6
1.0
5.0681 2.9261 4.2128
-5.0681 2.9261 4.2128
0.0000 -5.8521 4.2128
Ac Pm Y
3 1 6
Direct
0.0000 0.0000 0.0000 Ac
0.2585 0.2585 0.2585 Ac
0.7415 0.7415 0.7415 Ac
0.5000 0.5000 0.5000 Pm
0.0981 0.4230 0.7513 Y
0.2487 0.9019 0.5770 Y
0.4230 0.7513 0.0981 Y
0.5770 0.2487 0.9019 Y
0.7513 0.0981 0.4230 Y
0.9019 0.5770 0.2487 Y
```



Entry 6:
The following is a PBE-GGA calculation of a relaxed structure of LaZr2S4, from Alexandria.

Computed properties:
* electronic total energy: -7.217 eV/atom
* formation energy from raw total energies: -1.712 eV/atom

Structure (POSCAR):
```
LaZr2S4
1.0
1.9435 -6.1101 0.0000
1.9435 6.1101 0.0000
0.0000 0.0000 12.7509
La Zr S
2 4 8
Direct
0.1197 0.8803 0.7500 La
0.8803 0.1197 0.2500 La
0.3814 0.6186 0.5568 Zr
0.3814 0.6186 0.9432 Zr
0.6186 0.3814 0.0568 Zr
0.6186 0.3814 0.4432 Zr
0.0000 0.0000 0.0000 S
0.0000 0.0000 0.5000 S
0.2653 0.7347 0.1158 S
0.2653 0.7347 0.3842 S
0.4463 0.5537 0.7500 S
0.5537 0.4463 0.2500 S
0.7347 0.2653 0.6158 S
0.7347 0.2653 0.8842 S
```



Q: The highest electronic total energy belongs to which entry?
A: Dy12Zn6Os